Density functional theory data (PBE-GGA) for a geometry-optimized CsPr4Se6 structure.

Lattice parameters (Å, degrees): 7.522 7.522 22.940 90.00 90.00 146.57
Element x y z (fractional)
Cs (0.153, 0.847, 0.750)
Cs (0.847, 0.153, 0.250)
Pr (0.100, 0.900, 0.132)
Pr (0.100, 0.900, 0.368)
Pr (0.369, 0.631, 0.040)
Pr (0.369, 0.631, 0.460)
Pr (0.631, 0.369, 0.540)
Pr (0.631, 0.369, 0.960)
Pr (0.900, 0.100, 0.632)
Pr (0.900, 0.100, 0.868)
Se (0.000, 0.000, 0.000)
Se (0.000, 0.000, 0.500)
Se (0.152, 0.848, 0.250)
Se (0.270, 0.730, 0.579)
Se (0.270, 0.730, 0.921)
Se (0.466, 0.534, 0.150)
Se (0.466, 0.534, 0.350)
Se (0.534, 0.466, 0.650)
Se (0.534, 0.466, 0.850)
Se (0.730, 0.270, 0.079)
Se (0.730, 0.270, 0.421)
Se (0.848, 0.152, 0.750)

Results
space-group type	Cmcm, No. 63
E_tot	-5.4941	eV/atom
crystal system	orthorhombic
relative energy among the computed polymorphs	0	meV per atom
theoretical density	5.436	g cm⁻³
ΔE_f (raw)	-1.778	eV/atom